# LiPuAg2 (PBE, optimized geometry)
# total DFT energy (no corrections)	-65.4	eV for the cell shown
# energy relative to the elements	0.04	eV/atom
# theoretical density	10.211	g/cm³
# crystal system	trigonal
# D(E_F)	6.8	states/eV/f.u.
data_LiPuAg2
_cell_length_a 2.9769
_cell_length_b 2.9769
_cell_length_c 29.6596
_cell_angle_alpha 90.00
_cell_angle_beta 90.00
_cell_angle_gamma 120.00
_symmetry_space_group_name_H-M 'R 3 m'
_symmetry_Int_Tables_number 160
_symmetry_space_group_name_Hall 'R 3 -2"'
loop_
_atom_site_label
_atom_site_type_symbol
_atom_site_fract_x
_atom_site_fract_y
_atom_site_fract_z
Li1 Li 0.0000 0.0000 0.0000
Pu1 Pu 0.0000 0.0000 0.1666
Ag1 Ag 0.0000 0.0000 0.4070
Ag2 Ag 0.0000 0.0000 0.5930



# ZnCoAs2P (PBE, optimized geometry)
# total DFT energy (no corrections)	-19.7	eV for the cell shown
# energy relative to the elements	0.67	eV/atom
# theoretical density	5.133	g/cm³
# crystal system	tetragonal
# D(E_F)	4.8	states/eV/f.u.
data_ZnCoAs2P
_cell_length_a 4.895
_cell_length_b 4.895
_cell_length_c 4.120
_cell_angle_alpha 90.00
_cell_angle_beta 90.00
_cell_angle_gamma 90.00
_symmetry_space_group_name_H-M 'P 4/m m m'
_symmetry_Int_Tables_number 123
_symmetry_space_group_name_Hall '-P 4 2'
loop_
_atom_site_label
_atom_site_type_symbol
_atom_site_fract_x
_atom_site_fract_y
_atom_site_fract_z
Zn1 Zn 0.000 0.000 0.000
Co1 Co 0.500 0.500 0.000
As1 As 0.000 0.500 0.500
P1 P 0.500 0.500 0.500



# TiZn2Ag (PBE, optimized geometry)
# total DFT energy (no corrections)	-48.9	eV for the cell shown
# energy relative to the elements	0.27	eV/atom
# theoretical density	6.752	g/cm³
# crystal system	tetragonal
# D(E_F)	3.1	states/eV/f.u.
data_TiZn2Ag
_cell_length_a 7.130
_cell_length_b 7.130
_cell_length_c 5.545
_cell_angle_alpha 90.00
_cell_angle_beta 90.00
_cell_angle_gamma 90.00
_symmetry_space_group_name_H-M 'I -4 2 d'
_symmetry_Int_Tables_number 122
_symmetry_space_group_name_Hall 'I -4 2bw'
loop_
_atom_site_label
_atom_site_type_symbol
_atom_site_fract_x
_atom_site_fract_y
_atom_site_fract_z
Ti1 Ti 0.000 0.000 0.000
Zn1 Zn 0.243 0.250 0.625
Ag1 Ag 0.000 0.000 0.500



# K2CaTmF6 (PBE, optimized geometry)
# total DFT energy (no corrections)	-212.0	eV for the cell shown
# theoretical density	3.589	g/cm³
# formation energy without anion corrections	-3.310	eV per atom
# crystal system	cubic
# D(E_F)	1.5	states/eV/f.u.
data_K2CaTmF6
_cell_length_a 9.055
_cell_length_b 9.055
_cell_length_c 9.055
_cell_angle_alpha 90.00
_cell_angle_beta 90.00
_cell_angle_gamma 90.00
_symmetry_space_group_name_H-M 'F m -3 m'
_symmetry_Int_Tables_number 225
_symmetry_space_group_name_Hall '-F 4 2 3'
loop_
_atom_site_label
_atom_site_type_symbol
_atom_site_fract_x
_atom_site_fract_y
_atom_site_fract_z
K1 K 0.250 0.250 0.250
Ca1 Ca 0.000 0.000 0.000
Tm1 Tm 0.000 0.000 0.500
F1 F 0.000 0.000 0.258



# Tb6Sm5Dy2 (PBE, optimized geometry)
# total DFT energy (no corrections)	-118.7	eV for the cell shown
# energy relative to the elements	0.09	eV/atom
# theoretical density	7.835	g/cm³
# crystal system	orthorhombic
# D(E_F)	15.4	states/eV/f.u.
data_Tb6Sm5Dy2
_cell_length_a 11.675
_cell_length_b 20.504
_cell_length_c 3.595
_cell_angle_alpha 90.00
_cell_angle_beta 90.00
_cell_angle_gamma 90.00
_symmetry_space_group_name_H-M 'P b a m'
_symmetry_Int_Tables_number 55
loop_
_symmetry_equiv_pos_as_xyz
'x,y,z'
'-x,-y,-z'
'-x,-y,z'
'x,y,-z'
'x+1/2,-y+1/2,-z'
'-x+1/2,y+1/2,z'
'-x+1/2,y+1/2,-z'
'x+1/2,-y+1/2,z'
loop_
_atom_site_label
_atom_site_type_symbol
_atom_site_fract_x
_atom_site_fract_y
_atom_site_fract_z
Tb1 Tb 0.060 0.081 0.000
Tb2 Tb 0.081 0.368 0.000
Tb3 Tb 0.174 0.637 0.500
Sm1 Sm 0.000 0.500 0.500
Sm2 Sm 0.086 0.227 0.500
Sm3 Sm 0.199 0.949 0.500
Dy1 Dy 0.170 0.790 0.000



# KRe3Ag (PBE, optimized geometry)
# total DFT energy (no corrections)	-22.1	eV for the cell shown
# energy relative to the elements	3.85	eV/atom
# theoretical density	12.585	g/cm³
# crystal system	cubic
# D(E_F)	7.0	states/eV/f.u.
data_KRe3Ag
_cell_length_a 4.532
_cell_length_b 4.532
_cell_length_c 4.532
_cell_angle_alpha 90.00
_cell_angle_beta 90.00
_cell_angle_gamma 90.00
_symmetry_space_group_name_H-M 'P m -3 m'
_symmetry_Int_Tables_number 221
_symmetry_space_group_name_Hall '-P 4 2 3'
loop_
_atom_site_label
_atom_site_type_symbol
_atom_site_fract_x
_atom_site_fract_y
_atom_site_fract_z
K1 K 0.000 0.000 0.000
Re1 Re 0.000 0.000 0.500
Ag1 Ag 0.500 0.500 0.500



Among the records above, which one has the lowest D(E_F)? K2CaTmF6



Which value of total DFT energy (no corrections) does entry 3 give? -48.9 eV for the cell shown